Below is a relaxed structure of SbCl2F3, with properties calculated at the PBE level.

a b c (Å): 11.659 10.678 17.536
angles (deg): 90.00 127.12 90.00
Atoms (fractional coordinates):
1 Sb 0.223 0.152 0.331
2 Sb 0.223 0.348 0.831
3 Sb 0.239 0.555 0.469
4 Sb 0.239 0.945 0.969
5 Sb 0.270 0.609 0.090
6 Sb 0.270 0.891 0.590
7 Sb 0.730 0.109 0.410
8 Sb 0.730 0.391 0.910
9 Sb 0.761 0.055 0.031
10 Sb 0.761 0.445 0.531
11 Sb 0.777 0.652 0.169
12 Sb 0.777 0.848 0.669
13 Cl 0.021 0.165 0.323
14 Cl 0.021 0.335 0.823
15 Cl 0.175 0.069 0.046
16 Cl 0.175 0.431 0.546
17 Cl 0.230 0.211 0.735
18 Cl 0.230 0.289 0.235
19 Cl 0.238 0.545 0.787
20 Cl 0.238 0.955 0.287
21 Cl 0.326 0.672 0.235
22 Cl 0.326 0.828 0.735
23 Cl 0.416 0.183 0.485
24 Cl 0.416 0.317 0.985
25 Cl 0.584 0.683 0.015
26 Cl 0.584 0.817 0.515
27 Cl 0.674 0.172 0.265
28 Cl 0.674 0.328 0.765
29 Cl 0.762 0.045 0.713
30 Cl 0.762 0.455 0.213
31 Cl 0.770 0.711 0.765
32 Cl 0.770 0.789 0.265
33 Cl 0.825 0.569 0.454
34 Cl 0.825 0.931 0.954
35 Cl 0.979 0.665 0.177
36 Cl 0.979 0.835 0.677
37 F 0.044 0.616 0.383
38 F 0.044 0.884 0.883
39 F 0.070 0.636 0.027
40 F 0.070 0.864 0.527
41 F 0.204 0.075 0.881
42 F 0.204 0.425 0.381
43 F 0.226 0.577 0.968
44 F 0.226 0.923 0.468
45 F 0.269 0.066 0.612
46 F 0.269 0.434 0.112
47 F 0.275 0.700 0.559
48 F 0.275 0.800 0.059
49 F 0.289 0.671 0.411
50 F 0.289 0.829 0.911
51 F 0.437 0.515 0.561
52 F 0.437 0.985 0.061
53 F 0.470 0.610 0.141
54 F 0.470 0.890 0.641
55 F 0.530 0.110 0.359
56 F 0.530 0.390 0.859
57 F 0.563 0.015 0.939
58 F 0.563 0.485 0.439
59 F 0.711 0.171 0.089
60 F 0.711 0.329 0.589
61 F 0.725 0.200 0.941
62 F 0.725 0.300 0.441
63 F 0.731 0.566 0.888
64 F 0.731 0.934 0.388
65 F 0.774 0.077 0.532
66 F 0.774 0.423 0.032
67 F 0.796 0.575 0.619
68 F 0.796 0.925 0.119
69 F 0.930 0.136 0.473
70 F 0.930 0.364 0.973
71 F 0.956 0.116 0.117
72 F 0.956 0.384 0.617

Results
The calculation puts the final energy at -3.868 eV/atom. As for the space group: P2_1/c. For the formation energy (no corrections), the calculation gives -1629 meV per atom. The calculation puts the size of the total moment at 0.70 μB/cell.